Model A:
The following is a PBE calculation of AlTlRe2 after structural relaxation, from Alexandria.

POSCAR file:
```
AlTlRe2
1.0
2.8931 0.0000 0.0000
0.0000 3.9512 0.0000
0.0000 0.0000 6.2637
Al Tl Re
1 1 2
Cartesian
0.0000 0.0000 0.0000 Al
0.0000 0.0000 3.1318 Tl
1.4465 1.9756 1.1697 Re
1.4465 1.9756 5.0939 Re
```

Summary:
Space-group type: No. 47
Crystal system: orthorhombic

Model B:
The following is a PBE calculation of AlTlRe2 after structural relaxation, from Alexandria.

POSCAR file:
```
AlTlRe2
1.0
2.8586 -4.5932 0.0000
2.8586 4.5932 0.0000
-1.2865 0.0000 2.5635
Al Tl Re
1 1 2
Cartesian
0.0000 0.0000 0.0000 Al
2.8586 0.0000 0.0000 Tl
0.7860 2.2966 1.2818 Re
0.7860 -2.2966 1.2818 Re
```

Summary:
Space-group type: No. 12
Crystal system: monoclinic

Model C:
The following is a PBE calculation of AlTlRe2 after structural relaxation, from Alexandria.

POSCAR file:
```
AlTlRe2
1.0
3.9651 0.0000 0.0000
0.0000 3.9651 0.0000
0.0000 0.0000 4.2241
Al Tl Re
1 1 2
Cartesian
0.0000 0.0000 0.0000 Al
1.9825 1.9825 0.0000 Tl
0.0000 1.9825 2.1121 Re
1.9825 0.0000 2.1121 Re
```

Summary:
Space-group type: No. 123
Crystal system: tetragonal

Stability check: which of them is least stable? model C.

Model A:
The following is a PBE calculation of AlTlRe2 after structural relaxation, from Alexandria.

POSCAR file:
```
AlTlRe2
1.0
1.4676 0.8473 9.2446
-1.4676 0.8473 9.2446
0.0000 -1.6947 9.2446
Al Tl Re
1 1 2
Cartesian
0.0000 0.0000 0.0000 Al
0.0000 0.0000 6.6867 Tl
0.0000 0.0000 13.3741 Re
0.0000 0.0000 20.5918 Re
```

Summary:
Space-group type: No. 160
Crystal system: trigonal

Model B:
The following is a PBE calculation of AlTlRe2 after structural relaxation, from Alexandria.

POSCAR file:
```
AlTlRe2
1.0
2.9831 0.0000 0.0000
0.0000 4.4737 0.0000
-0.1095 0.0000 5.3305
Al Tl Re
1 1 2
Cartesian
0.0000 0.0000 0.0000 Al
1.4368 0.0000 2.6653 Tl
0.8267 2.2368 4.2610 Re
2.0469 2.2368 1.0695 Re
```

Summary:
Space-group type: No. 10
Crystal system: monoclinic

Model C:
The following is a PBE calculation of AlTlRe2 after structural relaxation, from Alexandria.

POSCAR file:
```
AlTlRe2
1.0
-2.0734 2.0734 3.8411
2.0734 -2.0734 3.8411
2.0734 2.0734 -3.8411
Al Tl Re
1 1 2
Cartesian
0.0000 0.0000 0.0000 Al
0.0000 2.0734 1.9206 Tl
2.0734 0.0000 1.9206 Re
0.0000 0.0000 3.8411 Re
```

Summary:
Space-group type: No. 119
Crystal system: tetragonal

Stability check: which of them is least stable? model C.

Model A:
The following is a PBE calculation of AlTlRe2 after structural relaxation, from Alexandria.

POSCAR file:
```
AlTlRe2
1.0
2.8102 0.0000 0.0000
0.0000 2.8102 0.0000
0.0000 0.0000 8.5338
Al Tl Re
1 1 2
Cartesian
0.0000 0.0000 0.0000 Al
0.0000 0.0000 4.2669 Tl
1.4051 1.4051 1.8805 Re
1.4051 1.4051 6.6533 Re
```

Summary:
Space-group type: No. 123
Crystal system: tetragonal

Model B:
The following is a PBE calculation of AlTlRe2 after structural relaxation, from Alexandria.

POSCAR file:
```
AlTlRe2
1.0
3.0065 0.0000 0.0000
0.0000 3.0065 0.0000
0.0000 0.0000 8.0283
Al Tl Re
1 1 2
Cartesian
0.0000 0.0000 0.0000 Al
1.5033 1.5033 5.4327 Tl
0.0000 0.0000 3.1379 Re
1.5033 1.5033 1.6476 Re
```

Summary:
Space-group type: No. 99
Crystal system: tetragonal

Model C:
The following is a PBE calculation of AlTlRe2 after structural relaxation, from Alexandria.

POSCAR file:
```
AlTlRe2
1.0
1.4190 0.8193 9.9624
-1.4190 0.8193 9.9624
0.0000 -1.6386 9.9624
Al Tl Re
1 1 2
Cartesian
0.0000 0.0000 0.0000 Al
0.0000 0.0000 14.9435 Tl
0.0000 0.0000 7.8278 Re
0.0000 0.0000 22.0593 Re
```

Summary:
Space-group type: No. 166
Crystal system: trigonal

Stability check: which of them is least stable? model A.

Model A:
The following is a PBE calculation of Al2TlRe after structural relaxation, from Alexandria.

POSCAR file:
```
Al2TlRe
1.0
3.4962 0.0000 0.0000
0.0000 3.4962 0.0000
0.0000 0.0000 5.7059
Al Tl Re
2 1 1
Cartesian
0.0000 0.0000 0.0000 Al
1.7481 1.7481 1.4673 Al
1.7481 1.7481 4.2261 Tl
0.0000 0.0000 2.4962 Re
```

Summary:
Space-group type: No. 99
Crystal system: tetragonal

Model B:
The following is a PBE calculation of Al2TlRe after structural relaxation, from Alexandria.

POSCAR file:
```
Al2TlRe
1.0
2.9423 0.0000 0.0000
0.0000 2.9423 0.0000
0.0000 0.0000 8.5529
Al Tl Re
2 1 1
Cartesian
0.0000 0.0000 0.0000 Al
1.4711 1.4711 1.9853 Al
1.4711 1.4711 5.8892 Tl
0.0000 0.0000 3.6166 Re
```

Summary:
Space-group type: No. 99
Crystal system: tetragonal

Model C:
The following is a PBE calculation of Al2TlRe after structural relaxation, from Alexandria.

POSCAR file:
```
Al2TlRe
1.0
4.4715 -1.7434 0.0000
4.4715 1.7434 0.0000
-1.4064 0.0000 4.5649
Al Tl Re
2 1 1
Cartesian
1.8047 0.0000 0.8773 Al
5.7318 0.0000 3.6876 Al
-0.7032 0.0000 2.2825 Tl
4.4715 0.0000 0.0000 Re
```

Summary:
Space-group type: No. 12
Crystal system: monoclinic

Stability check: which of them is least stable? model B.

Model A:
The following is a PBE calculation of Al2TlRe after structural relaxation, from Alexandria.

POSCAR file:
```
Al2TlRe
1.0
3.1834 0.0000 0.0000
0.0000 3.1162 0.0000
-1.4611 0.0000 7.7571
Al Tl Re
2 1 1
Cartesian
-0.0046 0.0000 1.3584 Al
1.7269 0.0000 6.3986 Al
0.8611 1.5581 3.8785 Tl
1.5917 1.5581 0.0000 Re
```

Summary:
Space-group type: No. 10
Crystal system: monoclinic

Model B:
The following is a PBE calculation of Al2TlRe after structural relaxation, from Alexandria.

POSCAR file:
```
Al2TlRe
1.0
-2.0742 2.0742 9.1203
2.0742 -2.0742 9.1203
2.0742 2.0742 -9.1203
Al Tl Re
4 2 2
Cartesian
3.1113 0.8236 -2.2801 Al
0.8236 1.0371 2.2801 Al
-1.0371 1.2506 6.8402 Al
1.2506 1.0371 11.4004 Al
2.0742 0.0000 4.5601 Tl
0.0000 0.0000 9.1203 Tl
0.0000 0.0000 0.0000 Re
0.0000 2.0742 4.5601 Re
```

Summary:
Space-group type: No. 122
Crystal system: tetragonal

Model C:
The following is a PBE calculation of Al2TlRe after structural relaxation, from Alexandria.

POSCAR file:
```
Al2TlRe
1.0
0.0000 3.2753 3.2753
3.2753 0.0000 3.2753
3.2753 3.2753 0.0000
Al Tl Re
2 1 1
Cartesian
0.0000 0.0000 0.0000 Al
1.6377 1.6377 1.6377 Al
4.9130 4.9130 4.9130 Tl
3.2753 3.2753 3.2753 Re
```

Summary:
Space-group type: No. 216
Crystal system: cubic

Model D:
The following is a PBE calculation of Al2TlRe after structural relaxation, from Alexandria.

POSCAR file:
```
Al2TlRe
1.0
1.5435 -2.4149 0.0000
1.5435 2.4149 0.0000
0.0000 0.0000 10.2457
Al Tl Re
2 1 1
Cartesian
0.0000 0.0000 0.0000 Al
1.5435 0.0000 2.3557 Al
0.0000 0.0000 5.5475 Tl
1.5435 0.0000 8.1945 Re
```

Summary:
Space-group type: No. 35
Crystal system: orthorhombic

Stability check: which of them is least stable? model C.